First-principles (PBE) data for NdRe2Si2C after structural relaxation, as listed in Alexandria.

a = 4.179 Å, b = 4.179 Å, c = 5.353 Å
α = 90.00°, β = 90.00°, γ = 90.00°
Element x y z (fractional)
1 Nd 0.000 0.000 0.000
2 Re 0.000 0.500 0.500
3 Re 0.500 0.000 0.500
4 Si 0.500 0.500 0.222
5 Si 0.500 0.500 0.778
6 C 0.000 0.000 0.500

Calculated values
* ΔE_f (raw): -354 meV per atom
* space-group type: No. 123


First-principles (PBE) data for NdTh2ReC4 after structural relaxation, as listed in Alexandria.

a = 6.459 Å, b = 6.459 Å, c = 12.763 Å
α = 90.00°, β = 90.00°, γ = 147.23°
Element x y z (fractional)
1 Nd 0.099 0.901 0.750
2 Nd 0.901 0.099 0.250
3 Th 0.368 0.632 0.540
4 Th 0.368 0.632 0.960
5 Th 0.632 0.368 0.040
6 Th 0.632 0.368 0.460
7 Re 0.168 0.832 0.250
8 Re 0.832 0.168 0.750
9 C 0.000 0.000 0.000
10 C 0.000 0.000 0.500
11 C 0.265 0.735 0.134
12 C 0.265 0.735 0.366
13 C 0.411 0.589 0.750
14 C 0.589 0.411 0.250
15 C 0.735 0.265 0.634
16 C 0.735 0.265 0.866

Calculated values
* E_form: -0.052 eV per atom
* space-group type: No. 63


First-principles (PBE) data for NdZr2ReC4 after structural relaxation, as listed in Alexandria.

a = 6.172 Å, b = 6.172 Å, c = 11.668 Å
α = 90.00°, β = 90.00°, γ = 148.18°
Element x y z (fractional)
1 Nd 0.097 0.903 0.750
2 Nd 0.903 0.097 0.250
3 Zr 0.370 0.630 0.539
4 Zr 0.370 0.630 0.961
5 Zr 0.630 0.370 0.039
6 Zr 0.630 0.370 0.461
7 Re 0.165 0.835 0.250
8 Re 0.835 0.165 0.750
9 C 0.000 0.000 0.000
10 C 0.000 0.000 0.500
11 C 0.261 0.739 0.117
12 C 0.261 0.739 0.383
13 C 0.428 0.572 0.750
14 C 0.572 0.428 0.250
15 C 0.739 0.261 0.617
16 C 0.739 0.261 0.883

Calculated values
* E_form: -0.303 eV per atom
* space-group type: No. 63


First-principles (PBE) data for NdRhC after structural relaxation, as listed in Alexandria.

a = 5.952 Å, b = 5.952 Å, c = 3.682 Å
α = 90.00°, β = 90.00°, γ = 123.91°
Element x y z (fractional)
1 Nd 0.142 0.858 0.000
2 Nd 0.858 0.142 0.000
3 Rh 0.370 0.630 0.500
4 Rh 0.630 0.370 0.500
5 C 0.247 0.247 0.500
6 C 0.753 0.753 0.500

Calculated values
* E_form: 0.180 eV per atom
* space-group type: No. 65


First-principles (PBE) data for Nd4Rh2C after structural relaxation, as listed in Alexandria.

a = 8.027 Å, b = 8.027 Å, c = 8.027 Å
α = 144.06°, β = 144.06°, γ = 51.74°
Element x y z (fractional)
1 Nd 0.000 0.500 0.500
2 Nd 0.182 0.182 0.000
3 Nd 0.500 0.000 0.500
4 Nd 0.818 0.818 0.000
5 Rh 0.370 0.370 0.000
6 Rh 0.630 0.630 0.000
7 C 0.000 0.000 0.000

Calculated values
* E_form: -0.178 eV per atom
* space-group type: No. 139


First-principles (PBE) data for Nd2Rh6C after structural relaxation, as listed in Alexandria.

a = 5.900 Å, b = 5.900 Å, c = 5.900 Å
α = 60.00°, β = 60.00°, γ = 60.00°
Element x y z (fractional)
1 Nd 0.250 0.250 0.250
2 Nd 0.750 0.750 0.750
3 Rh 0.248 0.248 0.752
4 Rh 0.248 0.752 0.248
5 Rh 0.248 0.752 0.752
6 Rh 0.752 0.248 0.248
7 Rh 0.752 0.248 0.752
8 Rh 0.752 0.752 0.248
9 C 0.500 0.500 0.500

Calculated values
* E_form: -0.444 eV per atom
* space-group type: No. 225


First-principles (PBE) data for NdRhC after structural relaxation, as listed in Alexandria.

a = 3.728 Å, b = 3.728 Å, c = 7.669 Å
α = 90.00°, β = 90.00°, γ = 90.00°
Element x y z (fractional)
1 Nd 0.250 0.250 0.173
2 Nd 0.750 0.750 0.827
3 Rh 0.250 0.250 0.590
4 Rh 0.750 0.750 0.410
5 C 0.250 0.250 0.836
6 C 0.750 0.750 0.164

Calculated values
* E_form: 0.054 eV per atom
* space-group type: No. 129


First-principles (PBE) data for NdRhC after structural relaxation, as listed in Alexandria.

a = 3.477 Å, b = 3.477 Å, c = 4.828 Å
α = 90.00°, β = 90.00°, γ = 120.00°
Element x y z (fractional)
1 Nd 0.000 0.000 0.000
2 Rh 0.667 0.333 0.471
3 C 0.333 0.667 0.346

Calculated values
* E_form: -0.083 eV per atom
* space-group type: No. 156


First-principles (PBE) data for Nd6Rh2C after structural relaxation, as listed in Alexandria.

a = 6.699 Å, b = 7.343 Å, c = 11.813 Å
α = 90.00°, β = 123.11°, γ = 90.00°
Element x y z (fractional)
1 Nd 0.113 0.046 0.241
2 Nd 0.113 0.454 0.741
3 Nd 0.236 0.692 0.064
4 Nd 0.236 0.808 0.564
5 Nd 0.375 0.171 0.062
6 Nd 0.375 0.329 0.562
7 Nd 0.625 0.671 0.438
8 Nd 0.625 0.829 0.938
9 Nd 0.764 0.192 0.436
10 Nd 0.764 0.308 0.936
11 Nd 0.887 0.546 0.259
12 Nd 0.887 0.954 0.759
13 Rh 0.300 0.100 0.755
14 Rh 0.300 0.400 0.255
15 Rh 0.700 0.600 0.745
16 Rh 0.700 0.900 0.245
17 C 0.000 0.000 0.000
18 C 0.000 0.500 0.500

Calculated values
* E_form: -0.369 eV per atom
* space-group type: No. 14


First-principles (PBE) data for NdSiRhC after structural relaxation, as listed in Alexandria.

a = 3.973 Å, b = 3.973 Å, c = 8.534 Å
α = 90.00°, β = 90.00°, γ = 90.00°
Element x y z (fractional)
1 Nd 0.250 0.250 0.152
2 Nd 0.750 0.750 0.848
3 Si 0.250 0.250 0.652
4 Si 0.750 0.750 0.348
5 Rh 0.250 0.750 0.500
6 Rh 0.750 0.250 0.500
7 C 0.250 0.250 0.864
8 C 0.750 0.750 0.136

Calculated values
* ΔE_f (raw): -641 meV per atom
* space-group type: No. 129


First-principles (PBE) data for Nd2Tl2Rh4C after structural relaxation, as listed in Alexandria.

a = 6.267 Å, b = 6.267 Å, c = 6.267 Å
α = 119.93°, β = 119.93°, γ = 90.13°
Element x y z (fractional)
1 Nd 0.207 0.207 0.000
2 Nd 0.793 0.793 0.000
3 Tl 0.250 0.750 0.500
4 Tl 0.750 0.250 0.500
5 Rh 0.269 0.269 0.538
6 Rh 0.269 0.731 0.000
7 Rh 0.731 0.269 0.000
8 Rh 0.731 0.731 0.462
9 C 0.500 0.500 0.000

Calculated values
* E_form: -0.109 eV per atom
* space-group type: No. 139


First-principles (PBE) data for Nd2Ru2C3 after structural relaxation, as listed in Alexandria.

a = 6.129 Å, b = 6.129 Å, c = 5.783 Å
α = 114.74°, β = 114.74°, γ = 33.37°
Element x y z (fractional)
1 Nd 0.106 0.106 0.316
2 Nd 0.894 0.894 0.684
3 Ru 0.339 0.339 0.179
4 Ru 0.661 0.661 0.821
5 C 0.247 0.247 0.780
6 C 0.500 0.500 0.500
7 C 0.753 0.753 0.220

Calculated values
* E_form: -0.129 eV per atom
* space-group type: No. 12


First-principles (PBE) data for Nd2RuC2 after structural relaxation, as listed in Alexandria.

a = 6.551 Å, b = 5.379 Å, c = 10.147 Å
α = 90.00°, β = 90.00°, γ = 90.00°
Element x y z (fractional)
1 Nd 0.019 0.250 0.218
2 Nd 0.192 0.250 0.550
3 Nd 0.308 0.750 0.050
4 Nd 0.481 0.750 0.718
5 Nd 0.519 0.250 0.282
6 Nd 0.692 0.250 0.950
7 Nd 0.808 0.750 0.450
8 Nd 0.981 0.750 0.782
9 Ru 0.230 0.250 0.859
10 Ru 0.270 0.750 0.359
11 Ru 0.730 0.250 0.641
12 Ru 0.770 0.750 0.141
13 C 0.031 0.750 0.245
14 C 0.184 0.750 0.542
15 C 0.316 0.250 0.042
16 C 0.469 0.250 0.745
17 C 0.531 0.750 0.255
18 C 0.684 0.750 0.958
19 C 0.816 0.250 0.458
20 C 0.969 0.250 0.755

Calculated values
* E_form: -0.186 eV per atom
* space-group type: No. 62


First-principles (PBE) data for NdRuC after structural relaxation, as listed in Alexandria.

a = 5.800 Å, b = 5.800 Å, c = 5.800 Å
α = 90.00°, β = 90.00°, γ = 90.00°
Element x y z (fractional)
1 Nd 0.157 0.157 0.157
2 Nd 0.343 0.843 0.657
3 Nd 0.657 0.343 0.843
4 Nd 0.843 0.657 0.343
5 Ru 0.157 0.343 0.657
6 Ru 0.343 0.657 0.157
7 Ru 0.657 0.157 0.343
8 Ru 0.843 0.843 0.843
9 C 0.073 0.573 0.927
10 C 0.427 0.427 0.427
11 C 0.573 0.927 0.073
12 C 0.927 0.073 0.573

Calculated values
* E_form: -0.011 eV per atom
* space-group type: No. 198


First-principles (PBE) data for NdRuC after structural relaxation, as listed in Alexandria.

a = 3.906 Å, b = 3.906 Å, c = 7.093 Å
α = 90.00°, β = 90.00°, γ = 90.00°
Element x y z (fractional)
1 Nd 0.000 0.000 0.250
2 Nd 0.000 0.000 0.750
3 Ru 0.500 0.500 0.000
4 Ru 0.500 0.500 0.500
5 C 0.000 0.500 0.000
6 C 0.500 0.000 0.500

Calculated values
* E_form: -0.101 eV per atom
* space-group type: No. 131


First-principles (PBE) data for NdRuC after structural relaxation, as listed in Alexandria.

a = 3.438 Å, b = 3.438 Å, c = 4.914 Å
α = 90.00°, β = 90.00°, γ = 120.00°
Element x y z (fractional)
1 Nd 0.000 0.000 0.000
2 Ru 0.667 0.333 0.526
3 C 0.333 0.667 0.625

Calculated values
* E_form: -0.012 eV per atom
* space-group type: No. 156


First-principles (PBE) data for Nd2RuC after structural relaxation, as listed in Alexandria.

a = 5.452 Å, b = 3.636 Å, c = 8.492 Å
α = 90.00°, β = 103.29°, γ = 90.00°
Element x y z (fractional)
1 Nd 0.225 0.250 0.433
2 Nd 0.268 0.750 0.086
3 Nd 0.732 0.250 0.914
4 Nd 0.775 0.750 0.567
5 Ru 0.300 0.750 0.743
6 Ru 0.700 0.250 0.257
7 C 0.167 0.250 0.780
8 C 0.833 0.750 0.220

Calculated values
* E_form: 0.040 eV per atom
* space-group type: No. 11


First-principles (PBE) data for NdRuC after structural relaxation, as listed in Alexandria.

a = 5.906 Å, b = 3.604 Å, c = 5.228 Å
α = 90.00°, β = 90.00°, γ = 90.00°
Element x y z (fractional)
1 Nd 0.250 0.000 0.230
2 Nd 0.750 0.000 0.770
3 Ru 0.250 0.500 0.723
4 Ru 0.750 0.500 0.277
5 C 0.000 0.500 0.500
6 C 0.500 0.500 0.500

Calculated values
* E_form: -0.047 eV per atom
* space-group type: No. 51


First-principles (PBE) data for Nd2RuC after structural relaxation, as listed in Alexandria.

a = 7.296 Å, b = 7.296 Å, c = 3.933 Å
α = 105.57°, β = 105.57°, γ = 29.30°
Element x y z (fractional)
1 Nd 0.127 0.127 0.127
2 Nd 0.873 0.873 0.873
3 Ru 0.500 0.500 0.500
4 C 0.500 0.500 0.000

Calculated values
* E_form: -0.140 eV per atom
* space-group type: No. 12


First-principles (PBE) data for Nd2Ru5C4 after structural relaxation, as listed in Alexandria.

a = 7.417 Å, b = 6.145 Å, c = 5.671 Å
α = 77.65°, β = 54.03°, γ = 48.32°
Element x y z (fractional)
1 Nd 0.146 0.146 0.854
2 Nd 0.854 0.854 0.146
3 Ru 0.000 0.000 0.500
4 Ru 0.250 0.250 0.250
5 Ru 0.500 0.500 0.000
6 Ru 0.500 0.500 0.500
7 Ru 0.750 0.750 0.750
8 C 0.206 0.535 0.465
9 C 0.465 0.794 0.206
10 C 0.535 0.206 0.794
11 C 0.794 0.465 0.535

Calculated values
* E_form: -0.052 eV per atom
* space-group type: No. 69